1.
DFT (PBE) results for a relaxed NpPa2Nb crystal.

POSCAR file:
```
NpPa2Nb
1.0
-0.537 0.028 2.978
1.520 -1.872 1.829
8.453 7.339 2.993
Np Nb Pa
1 1 2
direct
0.500 0.500 0.500
0.000 0.000 0.000
0.083 0.083 0.750
0.917 0.917 0.250
```

Properties
**Formation energy**: 0.49 eV per atom
**SG**: R-3m
**Calculated density**: 14.5 g/cm³
**Magnetization**: 3.33 μB/f.u.
**V**: 91 Å³/cell

---

2.
DFT (PBE) results for a relaxed ZrAgPd5 crystal.

POSCAR file:
```
ZrAgPd5
1.0
3.947 0.000 0.000
0.000 3.947 0.000
0.000 0.000 7.932
Zr Ag Pd
1 1 5
direct
0.500 0.500 0.000
0.000 0.000 0.500
0.000 0.500 0.764
0.000 0.500 0.236
0.500 0.000 0.764
0.500 0.000 0.236
0.500 0.500 0.500
```

Properties
**Formation energy**: -0.25 eV per atom
**SG**: P4/mmm
**Calculated density**: 9.8 g/cm³
**Magnetization**: 0.00 μB/f.u.
**V**: 124 Å³/cell

---

3.
DFT (PBE) results for a relaxed CaSiI2 crystal.

POSCAR file:
```
CaSiI2
1.0
0.000 3.904 3.904
3.904 0.000 3.904
3.904 3.904 0.000
I Ca Si
2 1 1
direct
0.250 0.250 0.250
0.750 0.750 0.750
0.500 0.500 0.500
0.000 0.000 0.000
```

Properties
**Distance to the lowest polymorph of the same formula**: 0.0 meV/atom
**SG**: Fm-3m
**Calculated density**: 4.5 g/cm³
**Magnetization**: 0.00 μB/f.u.
**V**: 119 Å³/cell

---

4.
DFT (PBE) results for a relaxed AcAl2H6 crystal.

POSCAR file:
```
AcAl2H6
1.0
4.586 0.000 2.648
1.529 4.324 2.648
0.000 0.000 5.296
H Ac Al
6 1 2
direct
0.321 0.679 0.321
0.679 0.321 0.321
0.321 0.679 0.679
0.679 0.321 0.679
0.679 0.679 0.321
0.321 0.321 0.679
0.000 0.000 0.000
0.750 0.750 0.750
0.250 0.250 0.250
```

Properties
**SG**: Fm-3m
**Total energy**: -2.746 eV/atom
**Calculated density**: 4.5 g/cm³
**Magnetization**: 0.00 μB/f.u.
**V**: 105 Å³/cell